# LuVO4, optimized geometry, DFT PBE with a Hubbard U
data_LuVO4
_chemical_formula_sum 'Lu4 V4 O16'
_cell_length_a 5.015
_cell_length_b 5.015
_cell_length_c 11.044
_cell_angle_alpha 90.00
_cell_angle_beta 90.00
_cell_angle_gamma 90.00
_space_group_name_H-M_alt 'I 41/a'
_space_group_IT_number 88
loop_
_space_group_symop_operation_xyz
'x,y,z'
'-x,-y,-z'
'-y+3/4,x+1/4,z+1/4'
'y+3/4,-x+1/4,-z+1/4'
'-x+1/2,-y,z+1/2'
'x+1/2,y,-z+1/2'
'y+3/4,-x+3/4,z+3/4'
'-y+3/4,x+3/4,-z+3/4'
'x+1/2,y+1/2,z+1/2'
'-x+1/2,-y+1/2,-z+1/2'
'-y+1/4,x+3/4,z+3/4'
'y+1/4,-x+3/4,-z+3/4'
'-x,-y+1/2,z'
'x,y+1/2,-z'
'y+1/4,-x+1/4,z+1/4'
'-y+1/4,x+1/4,-z+1/4'
loop_
_atom_site_label
_atom_site_fract_x
_atom_site_fract_y
_atom_site_fract_z
Lu1 0.000 0.250 0.125
V1 0.000 0.250 0.625
O1 0.154 0.009 0.293
# Offset from the most stable computed form = 0.21 eV per formula unit